[1]
Crystalline KFe2Pt at its relaxed geometry, computed with GGA-PBEsol.

Cell: 5.6106 8.9278 2.6565 Å, 90.00 108.84 90.00°
Last column: nearest neighbours and their distance in Å.
Space group C2/m (No. 12)
Inequivalent atoms, fractional coordinates:
K (0.0000, 0.0000, 0.0000) x2  2 K 2.66, 4 Fe 2.74, 2 Pt 2.81
Fe (0.2500, 0.2500, 0.5000) x4  4 Fe 2.66-2.81, 2 K 2.74, 2 Pt 2.74
Pt (0.0000, 0.5000, 0.0000) x2  2 Pt 2.66, 4 Fe 2.74, 2 K 2.81

E_form = 0.8915 eV per atom
Total energy = -22.46 eV/f.u.
V = 125.9 Å³/cell

[2]
Crystalline KRb3Fe at its relaxed geometry, computed with GGA-PBEsol.

Cell: 7.5364 7.5364 7.5364 Å, 90.00 90.00 90.00°
Last column: nearest neighbours and their distance in Å.
Space group Pm-3m (No. 221)
Inequivalent atoms, fractional coordinates:
K (0.0000, 0.0000, 0.0000) x1  6 Rb 3.77
Rb (0.0000, 0.0000, 0.5000) x3  2 K 3.77
Fe (0.5000, 0.5000, 0.5000) x1  12 Rb 5.33

E_form = 1.1826 eV per atom
Total energy = -7.26 eV/f.u.
V = 428.1 Å³/cell

[3]
Crystalline KRbFeRh2 at its relaxed geometry, computed with GGA-PBEsol.

Cell: 4.8083 4.8083 5.2173 Å, 90.00 90.00 90.00°
Last column: nearest neighbours and their distance in Å.
Space group P4/mmm (No. 123)
Inequivalent atoms, fractional coordinates:
K (0.0000, 0.0000, 0.0000) x1  4 Rh 2.40, 2 Rb 2.61
Rb (0.0000, 0.0000, 0.5000) x1  2 K 2.61
Fe (0.5000, 0.5000, 0.5000) x1  4 Rb 3.40, 8 Rh 3.55
Rh (0.0000, 0.5000, 0.0000) x2  2 K 2.40

E_form = 2.2430 eV per atom
Total energy = -16.18 eV/f.u.
V = 120.6 Å³/cell

[4]
Crystalline KRbFe4S6 at its relaxed geometry, computed with GGA-PBEsol.

Cell: 5.0896 8.6537 10.7955 Å, 90.00 90.00 90.00°
Last column: nearest neighbours and their distance in Å.
Space group Amm2 (No. 38)
Inequivalent atoms, fractional coordinates:
K (0.0000, 0.0000, 0.0000) x2  10 S 3.24-3.62
Rb (0.5000, 0.0000, 0.6489) x2  10 S 3.26-3.58
Fe (0.2502, 0.1449, 0.3251) x8  4 S 2.09-2.15
S (0.0000, 0.0000, 0.4362) x2  4 Fe 2.15
S (0.0000, 0.2212, 0.7150) x4  2 Fe 2.09
S (0.5000, 0.0000, 0.2140) x2  4 Fe 2.15
S (0.5000, 0.2158, 0.9318) x4  2 Fe 2.10

Total energy = -73.20 eV/f.u.
V = 475.5 Å³/cell

[5]
Crystalline K2FeRe at its relaxed geometry, computed with GGA-PBEsol.

Cell: 3.6000 3.6000 5.6797 Å, 90.00 90.00 90.00°
Last column: nearest neighbours and their distance in Å.
Space group P4/mmm (No. 123)
Inequivalent atoms, fractional coordinates:
K (0.0000, 0.5000, 0.0000) x2  4 K 2.55
Fe (0.0000, 0.0000, 0.5000) x1  4 Re 2.55
Re (0.5000, 0.5000, 0.5000) x1  4 Fe 2.55

E_form = 1.6375 eV per atom
Total energy = -18.01 eV/f.u.
V = 73.6 Å³/cell

[6]
Crystalline K2FeRe at its relaxed geometry, computed with GGA-PBEsol.

Cell: 2.8002 3.6793 10.2048 Å, 90.00 90.00 90.00°
Last column: nearest neighbours and their distance in Å.
Space group Pmm2 (No. 25)
Inequivalent atoms, fractional coordinates:
K (0.0000, 0.0000, 0.0000) x1  2 K 2.80
K (0.5000, 0.5000, 0.4266) x1  2 K 2.80
Fe (0.0000, 0.0000, 0.6732) x1  4 Re 2.43
Re (0.5000, 0.5000, 0.7455) x1  4 Fe 2.43

E_form = 0.8934 eV per atom
Total energy = -20.99 eV/f.u.
V = 105.1 Å³/cell

[7]
Crystalline KFe2Re at its relaxed geometry, computed with GGA-PBEsol.

Cell: 3.0785 4.3205 9.5842 Å, 90.00 90.00 90.00°
Last column: nearest neighbours and their distance in Å.
Space group Cmmm (No. 65)
Inequivalent atoms, fractional coordinates:
K (0.0000, 0.0000, 0.0000) x2  4 K 2.65
Fe (0.0000, 0.5000, 0.2969) x4  2 Re 2.48, 4 Fe 2.65
Re (0.0000, 0.0000, 0.5000) x2  4 Fe 2.48, 4 Re 2.65

E_form = 0.8594 eV per atom
Total energy = -28.95 eV/f.u.
V = 127.5 Å³/cell

[8]
Crystalline K2FeRe at its relaxed geometry, computed with GGA-PBEsol.

Cell: 7.6405 7.6405 7.6405 Å, 90.00 90.00 90.00°
Last column: nearest neighbours and their distance in Å.
Space group Fm-3m (No. 225)
Inequivalent atoms, fractional coordinates:
K (0.2500, 0.2500, 0.2500) x8  4 Fe 3.31, 4 Re 3.31
Fe (0.0000, 0.0000, 0.0000) x4  8 K 3.31
Re (0.0000, 0.0000, 0.5000) x4  8 K 3.31

E_form = 2.3620 eV per atom
Total energy = -15.11 eV/f.u.
V = 446.0 Å³/cell

[9]
Crystalline KScFeRe2 at its relaxed geometry, computed with GGA-PBEsol.

Cell: 4.7850 4.7850 4.7915 Å, 90.00 90.00 90.00°
Last column: nearest neighbours and their distance in Å.
Space group P4/mmm (No. 123)
Inequivalent atoms, fractional coordinates:
K (0.0000, 0.0000, 0.0000) x1  4 Fe 3.38, 8 Re 3.39
Sc (0.5000, 0.5000, 0.5000) x1  4 Re 2.39, 2 Fe 2.40
Fe (0.5000, 0.5000, 0.0000) x1  2 Sc 2.40
Re (0.0000, 0.5000, 0.5000) x2  2 Sc 2.39

E_form = 2.3576 eV per atom
Total energy = -31.58 eV/f.u.
V = 109.7 Å³/cell

[10]
Crystalline KFeRh2 at its relaxed geometry, computed with GGA-PBEsol.

Cell: 4.6577 4.6577 2.8945 Å, 90.00 90.00 90.00°
Last column: nearest neighbours and their distance in Å.
Space group P4/mmm (No. 123)
Inequivalent atoms, fractional coordinates:
K (0.0000, 0.0000, 0.0000) x1  8 Rh 2.74, 2 K 2.89
Fe (0.5000, 0.5000, 0.0000) x1  8 Rh 2.74, 2 Fe 2.89
Rh (0.0000, 0.5000, 0.5000) x2  4 Fe 2.74, 4 K 2.74, 2 Rh 2.89

E_form = 1.0189 eV per atom
Total energy = -22.30 eV/f.u.
V = 62.8 Å³/cell

[11]
Crystalline K2FeRh at its relaxed geometry, computed with GGA-PBEsol.

Cell: 7.3303 7.3303 7.3303 Å, 90.00 90.00 90.00°
Last column: nearest neighbours and their distance in Å.
Space group Fm-3m (No. 225)
Inequivalent atoms, fractional coordinates:
K (0.2500, 0.2500, 0.2500) x8  4 Fe 3.17, 4 Rh 3.17
Fe (0.0000, 0.0000, 0.0000) x4  8 K 3.17
Rh (0.0000, 0.0000, 0.5000) x4  8 K 3.17

E_form = 1.5239 eV per atom
Total energy = -13.27 eV/f.u.
V = 393.9 Å³/cell

[12]
Crystalline K2FeRh at its relaxed geometry, computed with GGA-PBEsol.

Cell: 2.9678 5.4776 4.8058 Å, 90.00 93.37 90.00°
Last column: nearest neighbours and their distance in Å.
Space group P2/m (No. 10)
Inequivalent atoms, fractional coordinates:
K (0.2503, 0.0000, 0.2480) x2  6 K 2.73-2.97
Fe (0.0000, 0.5000, 0.5000) x1  4 Rh 2.75-2.90, 2 Fe 2.97
Rh (0.5000, 0.5000, 0.0000) x1  4 Fe 2.75-2.90, 2 Rh 2.97

E_form = 1.1097 eV per atom
Total energy = -14.93 eV/f.u.
V = 78.0 Å³/cell